(1)
The following is a DFT calculation (GGA-PBE) of an optimized crystal structure of LaTi2Mn2.

Structure (extended XYZ):
```
5
Lattice="-2.187 2.187 5.044 2.187 -2.187 5.044 2.187 2.187 -5.044" Properties=species:S:1:pos:R:3 pbc="T T T"
La 0.000 0.000 0.000
Ti 0.000 0.000 3.478
Ti 0.000 0.000 6.610
Mn 2.187 0.000 2.522
Mn 0.000 2.187 2.522
```

Computed properties:
The total energy comes out at -0.277 Ha/atom. As for the total magnetization: 2.151 μB per cell. Its symmetry is I4/mmm. The value obtained for the distance to the lowest polymorph of the same formula is 0.0925 eV/atom. For the energy of formation from the pure elements, the calculation gives 0.286 eV/atom.

***

(2)
The following is a DFT calculation (GGA-PBE) of an optimized crystal structure of LaTiMn2.

Structure (extended XYZ):
```
4
Lattice="0.000 3.201 3.201 3.201 0.000 3.201 3.201 3.201 0.000" Properties=species:S:1:pos:R:3 pbc="T T T"
La 0.000 0.000 0.000
Ti 3.201 3.201 3.201
Mn 1.601 1.601 1.601
Mn 4.802 4.802 4.802
```

Computed properties:
The total energy comes out at -0.271 Ha/atom. As for the total magnetization: 0.001 μB per cell. Its symmetry is Fm-3m. The value obtained for the distance to the lowest polymorph of the same formula is 0.0000 eV/atom. For the energy of formation from the pure elements, the calculation gives 0.413 eV/atom.